Entry 1:
# PBE ZnSi2Br8, optimized geometry
data_ZnSi2Br8
_chemical_formula_sum 'Zn1 Si2 Br8'
_cell_length_a 6.651
_cell_length_b 8.163
_cell_length_c 8.163
_cell_angle_alpha 88.88
_cell_angle_beta 87.80
_cell_angle_gamma 87.80
_symmetry_space_group_name_H-M 'P 1'
_symmetry_Int_Tables_number 1
_symmetry_space_group_name_Hall 'P 1'
loop_
_atom_site_label
_atom_site_type_symbol
_atom_site_fract_x
_atom_site_fract_y
_atom_site_fract_z
Zn1 Zn 0.000 0.000 0.000
Br1 Br 0.761 0.614 0.614
Br2 Br 0.811 0.069 0.742
Br3 Br 0.291 0.791 0.791
Br4 Br 0.709 0.209 0.209
Br5 Br 0.189 0.931 0.258
Br6 Br 0.811 0.742 0.069
Br7 Br 0.239 0.386 0.386
Br8 Br 0.189 0.258 0.931
Si1 Si 0.645 0.800 0.800
Si2 Si 0.355 0.200 0.200
# Total energy, eV per atom: -2.792
# Space group: C2/m
# DOS(E_F), states/eV/atom: 0.10
# Calculated density, Mg/m³: 2.86
# V, Å³/cell: 442.47

Entry 2:
# PBE BaP2Br, optimized geometry
data_BaP2Br
_chemical_formula_sum 'Ba1 P2 Br1'
_cell_length_a 6.317
_cell_length_b 4.149
_cell_length_c 5.137
_cell_angle_alpha 89.02
_cell_angle_beta 90.00
_cell_angle_gamma 90.00
_symmetry_space_group_name_H-M 'P 1'
_symmetry_Int_Tables_number 1
_symmetry_space_group_name_Hall 'P 1'
loop_
_atom_site_label
_atom_site_type_symbol
_atom_site_fract_x
_atom_site_fract_y
_atom_site_fract_z
Ba1 Ba 0.500 0.250 0.250
Br1 Br 0.500 0.750 0.750
P1 P 0.000 0.961 0.144
P2 P 0.000 0.539 0.356
# Space group: P2/m
# DOS(E_F), states/eV/atom: 0.53
# Calculated density, Mg/m³: 3.44
# E above lowest polymorph, meV per atom: 101
# V, Å³/cell: 134.64